The following is a DFT calculation (PBE) of a geometry-optimized Cd9AgRh2 structure.

The density of states at the Fermi level is 0.327 states/eV/atom. The total energy comes out at -2.225 eV/atom. The energy relative to the elements is -0.08 eV per atom. Its volume is 19.2 Å³ per atom.

The space group is P4/mmm (No. 123) and the conventional cell measures 4.2344, 4.2344 and 12.8687 Å, with angles of 90.00, 90.00 and 90.00 degrees. The inequivalent atoms are Cd at (0.0000, 0.0000, 0.0000), Cd at (0.0000, 0.0000, 0.3373), Cd at (0.0000, 0.5000, 0.1760), Cd at (0.0000, 0.5000, 0.5000), Ag at (0.5000, 0.5000, 0.0000) and Rh at (0.5000, 0.5000, 0.3400).